1.
Crystalline LiMgCr3S6O24 at its relaxed geometry, computed with PBE with a Hubbard U.

a = 8.3220 Å, b = 8.3431 Å, c = 8.9141 Å
α = 62.18°, β = 62.23°, γ = 60.43°
Closest atoms and distances in Å follow each position.
Fractional positions:
Li 0.0000 0.0000 0.0000  4 O 2.00-2.08
Mg 0.3977 0.7297 0.9067  6 O 2.03-2.14
Cr 0.0887 0.4344 0.8088  6 O 2.00-2.05
Cr 0.5893 0.9305 0.3007  6 O 1.98-2.05
Cr 0.8788 0.2303 0.4276  6 O 1.99-2.01
S 0.1913 0.1275 0.6127  4 O 1.48-1.49
S 0.2747 0.0554 0.1069  4 O 1.48-1.50
S 0.4885 0.5411 0.6065  4 O 1.46-1.49
S 0.7023 0.3255 0.1119  4 O 1.45-1.53
S 0.7786 0.8352 0.6071  4 O 1.46-1.50
S 0.9833 0.6213 0.1085  4 O 1.46-1.52
O 0.1266 0.0881 0.2757  1 S 1.48
O 0.1809 0.6100 0.0610  1 S 1.46
O 0.1928 0.9510 0.7701  1 S 1.49
O 0.2189 0.2708 0.6444  1 S 1.49
O 0.2445 0.9223 0.0643  1 S 1.48
O 0.2653 0.2425 0.9586  1 S 1.50
O 0.2831 0.5663 0.6495  1 S 1.49
O 0.3480 0.0820 0.4518  1 S 1.48
O 0.4698 0.9681 0.1277  1 S 1.48
O 0.5158 0.5677 0.7425  1 S 1.46
O 0.5349 0.6865 0.4287  1 S 1.49
O 0.5761 0.5242 0.0565  1 S 1.45
O 0.5892 0.8697 0.7436  1 S 1.46
O 0.6174 0.3438 0.5896  1 S 1.49
O 0.6271 0.1860 0.1308  1 S 1.49
O 0.7255 0.2813 0.2827  1 S 1.47
O 0.7612 0.8731 0.4326  1 S 1.50
O 0.8485 0.8223 0.1229  1 S 1.52
O 0.8705 0.9647 0.5806  1 S 1.49
O 0.9007 0.2852 0.9706  1 S 1.53
O 0.9112 0.6307 0.6571  1 S 1.49
O 0.9300 0.4800 0.2829  1 S 1.47
O 0.9505 0.6016 0.9681  1 S 1.49
O 0.9989 0.2145 0.5852  1 S 1.48

Computed properties:
density of states at the Fermi level = 0.0 states/eV per cell
calculated total energy = -6.48 eV per atom

2.
Crystalline Li2MgCr3Se3S3O24 at its relaxed geometry, computed with PBE with a Hubbard U.

a = 8.5405 Å, b = 8.5574 Å, c = 9.1261 Å
α = 89.74°, β = 62.20°, γ = 61.19°
Closest atoms and distances in Å follow each position.
Fractional positions:
Li 0.0000 0.0000 0.0000  4 O 1.98-2.03
Li 0.3576 0.4045 0.9923  4 O 1.96-2.10
Mg 0.7040 0.0148 0.8977  6 O 2.03-2.24
Cr 0.1121 0.3158 0.8132  6 O 2.00-2.05
Cr 0.1228 0.8143 0.2965  5 O 2.04-2.24
Cr 0.6963 0.5142 0.4292  6 O 2.00-2.06
Se 0.2177 0.9084 0.6127  4 O 1.64-1.68
Se 0.8952 0.7090 0.1136  4 O 1.64-1.71
Se 0.9140 0.6185 0.6022  4 O 1.65-1.68
S 0.1882 0.1383 0.1103  4 O 1.47-1.53
S 0.6050 0.2169 0.6188  4 O 1.45-1.51
S 0.6400 0.4047 0.1000  4 O 1.48-1.50
O 0.0219 0.8067 0.1233  1 Se 1.68
O 0.0283 0.8985 0.7828  1 Se 1.68
O 0.0684 0.6214 0.4058  1 Se 1.67
O 0.0775 0.4915 0.6690  1 Se 1.68
O 0.1008 0.4945 0.9721  1 Se 1.71
O 0.1444 0.1396 0.9654  1 S 1.53
O 0.1541 0.1293 0.6441  1 Se 1.68
O 0.2457 0.9543 0.1376  1 S 1.47
O 0.2497 0.8486 0.4255  1 Se 1.64
O 0.3629 0.1669 0.0557  1 S 1.48
O 0.4255 0.1959 0.6645  1 S 1.49
O 0.4399 0.7607 0.6086  1 Se 1.68
O 0.4422 0.5180 0.1026  1 S 1.48
O 0.5492 0.4021 0.5850  1 S 1.50
O 0.6075 0.4611 0.2701  1 S 1.48
O 0.6274 0.2196 0.7728  1 S 1.51
O 0.7119 0.2040 0.0585  1 S 1.50
O 0.7289 0.8302 0.7366  1 Se 1.65
O 0.7326 0.8369 0.0526  1 Se 1.64
O 0.7609 0.6922 0.3087  1 Se 1.66
O 0.7961 0.0657 0.4686  1 S 1.45
O 0.7996 0.4363 0.9630  1 S 1.50
O 0.8004 0.5094 0.5867  1 Se 1.68
O 0.9967 0.2884 0.2664  1 S 1.47

Computed properties:
calculated total energy = -6.10 eV per atom